# Cd4As2S

Cd4As2S after structural relaxation (PBE, Alexandria).

a b c (Å): 7.6228 7.6228 7.6228
angles (deg): 139.92 139.92 57.98
Closest atoms and distances in Å follow each position.
Fractional positions:
1 Cd 0.0000 0.5000 0.5000  2 S 2.61
2 Cd 0.1943 0.1943 0.0000  1 As 2.56, 1 S 2.59
3 Cd 0.5000 0.0000 0.5000  2 S 2.61
4 Cd 0.8057 0.8057 0.0000  1 As 2.56, 1 S 2.59
5 As 0.3860 0.3860 0.0000  1 Cd 2.56
6 As 0.6140 0.6140 0.0000  1 Cd 2.56
7 S 0.0000 0.0000 0.0000  6 Cd 2.59-2.61

The value obtained for the mass density is 5.76 g/cm3. As for the uncorrected formation energy: 73 kJ/mol of formula units. As for the space group: I4/mmm (139). As for the density of states at the Fermi level: 2.153 states/eV/f.u.